(1)
Entry from Alexandria via LeMat-Bulk: MnIrBr2 after structural relaxation (PBE).

The structure in POSCAR format:
```
MnIrBr2
1.0
1.633 0.943 7.908
-1.633 0.943 7.908
0.000 -1.886 7.908
Mn Ir Br
1 1 2
Direct
0.000 0.000 0.000
0.500 0.500 0.500
0.398 0.398 0.398
0.602 0.602 0.602
```

Summary:
Its spin magnetization is 0.00 μB/f.u. The energy above the lowest structure with this stoichiometry is 721 meV per atom. The crystal system is trigonal. Its space group is R-3m. Its total energy is -18.232 eV/cell. The density of states at the Fermi level is 9.6 states/eV/f.u. As for the formation energy (no corrections): 0.79 eV per atom.



(2)
Entry from Alexandria via LeMat-Bulk: LiSn2Sb after structural relaxation (PBE).

The structure in POSCAR format:
```
LiSn2Sb
1.0
4.476 0.000 0.000
0.000 4.476 0.000
0.000 0.000 5.062
Li Sn Sb
1 2 1
Direct
0.000 0.000 0.000
0.000 0.500 0.500
0.500 0.000 0.500
0.500 0.500 0.000
```

Summary:
Its spin magnetization is 0.00 μB/f.u. The energy above the lowest structure with this stoichiometry is 0 meV per atom. The crystal system is tetragonal. Its space group is P4/mmm. Its total energy is -14.605 eV/cell. The density of states at the Fermi level is 1.5 states/eV/f.u. As for the formation energy (no corrections): -0.14 eV per atom.



(3)
Entry from Alexandria via LeMat-Bulk: Cs2GaTeCl6 after structural relaxation (PBE).

The structure in POSCAR format:
```
Cs2GaTeCl6
1.0
-3.986 3.986 5.295
3.986 -3.986 5.295
3.986 3.986 -5.295
Cs Ga Te Cl
2 1 1 6
Direct
0.250 0.750 0.500
0.750 0.250 0.500
0.000 0.000 0.000
0.500 0.500 0.000
0.210 0.210 0.419
0.210 0.790 0.000
0.255 0.255 0.000
0.745 0.745 0.000
0.790 0.210 0.000
0.790 0.790 0.581
```

Summary:
Its spin magnetization is 1.00 μB/f.u. The crystal system is tetragonal. Its space group is I4/mmm. Its total energy is -30.868 eV/cell. The density of states at the Fermi level is 1.1 states/eV/f.u. As for the formation energy (no corrections): -1.19 eV per atom.



(4)
Entry from Alexandria via LeMat-Bulk: CePu2FeN4 after structural relaxation (PBE).

The structure in POSCAR format:
```
CePu2FeN4
1.0
1.700 -5.655 0.000
1.700 5.655 0.000
0.000 0.000 11.449
Ce Pu Fe N
2 4 2 8
Direct
0.104 0.896 0.750
0.896 0.104 0.250
0.369 0.631 0.556
0.369 0.631 0.944
0.631 0.369 0.056
0.631 0.369 0.444
0.158 0.842 0.250
0.842 0.158 0.750
0.000 0.000 0.000
0.000 0.000 0.500
0.268 0.732 0.117
0.268 0.732 0.383
0.450 0.550 0.750
0.550 0.450 0.250
0.732 0.268 0.617
0.732 0.268 0.883
```

Summary:
Its spin magnetization is 6.01 μB/f.u. The crystal system is orthorhombic. Its space group is Cmcm. Its total energy is -170.288 eV/cell. The density of states at the Fermi level is 9.9 states/eV/f.u. As for the formation energy (no corrections): -1.10 eV per atom.